# 1
The following is a DFT calculation (GGA-PBE) of an optimized crystal structure of Na2Sr2Tl.

```
Na2Sr2Tl
1.0
-2.093 2.093 11.142
2.093 -2.093 11.142
2.093 2.093 -11.142
Na Sr Tl
2 2 1
direct
0.206 0.206 0.000
0.794 0.794 0.000
0.414 0.414 0.000
0.586 0.586 0.000
0.000 0.000 0.000
```

Output
VASP energy   -9.27 eV for the cell shown
Energy relative to the elements   -17.5 kJ/mol of atoms
SG   No. 139

***

# 2
The following is a DFT calculation (GGA-PBE) of an optimized crystal structure of PrSmH2.

```
PrSmH2
1.0
1.810 1.045 5.908
-1.810 1.045 5.908
0.000 -2.090 5.908
Pr Sm H
1 1 2
direct
0.000 0.000 0.000
0.500 0.500 0.500
0.247 0.247 0.247
0.753 0.753 0.753
```

Output
VASP energy   -17.78 eV for the cell shown
SG   No. 166

***

# 3
The following is a DFT calculation (GGA-PBE) of an optimized crystal structure of LaZr2Au.

```
LaZr2Au
1.0
3.372 0.000 0.000
0.000 3.372 0.000
0.000 0.000 8.797
La Zr Au
1 2 1
direct
0.000 0.000 0.000
0.000 0.000 0.545
0.500 0.500 0.313
0.500 0.500 0.737
```

Output
VASP energy   -26.44 eV for the cell shown
Energy relative to the elements   -27.5 kJ/mol of atoms
SG   No. 99

***

# 4
The following is a DFT calculation (GGA-PBE) of an optimized crystal structure of LiCaTbPt.

```
LiCaTbPt
1.0
0.000 3.538 3.538
3.538 0.000 3.538
3.538 3.538 0.000
Li Ca Tb Pt
1 1 1 1
direct
0.000 0.000 0.000
0.750 0.750 0.750
0.250 0.250 0.250
0.500 0.500 0.500
```

Output
VASP energy   -16.92 eV for the cell shown
Energy relative to the elements   -56.4 kJ/mol of atoms
SG   No. 216

***

# 5
The following is a DFT calculation (GGA-PBE) of an optimized crystal structure of PrHo4Ag5.

```
PrHo4Ag5
1.0
3.616 0.000 0.000
0.000 3.616 0.000
0.000 0.000 18.597
Pr Ho Ag
1 4 5
direct
0.000 0.000 0.000
0.000 0.000 0.206
0.000 0.000 0.402
0.000 0.000 0.598
0.000 0.000 0.794
0.500 0.500 0.112
0.500 0.500 0.304
0.500 0.500 0.500
0.500 0.500 0.696
0.500 0.500 0.888
```

Output
VASP energy   -40.49 eV for the cell shown
Energy relative to the elements   -30.4 kJ/mol of atoms
SG   No. 123

***

# 6
The following is a DFT calculation (GGA-PBE) of an optimized crystal structure of Cs2NpAlTe4.

```
Cs2NpAlTe4
1.0
0.000 7.993 14.169
3.409 0.000 14.169
3.409 7.993 0.000
Cs Np Al Te
4 2 2 8
direct
0.055 0.055 0.695
0.305 0.305 0.945
0.695 0.695 0.055
0.945 0.945 0.305
0.125 0.125 0.125
0.875 0.875 0.875
0.375 0.375 0.375
0.625 0.625 0.625
0.003 0.637 0.543
0.316 0.543 0.637
0.363 0.997 0.684
0.457 0.684 0.997
0.543 0.316 0.003
0.637 0.003 0.316
0.684 0.457 0.363
0.997 0.363 0.457
```

Output
Formation energy without anion corrections   -0.746 eV per atom
VASP energy   -73.86 eV for the cell shown
SG   No. 70

***

# 7
The following is a DFT calculation (GGA-PBE) of an optimized crystal structure of HoEr2ScIn2.

```
HoEr2ScIn2
1.0
5.259 0.000 0.000
0.000 9.116 0.000
0.000 0.000 6.630
Ho Er Sc In
2 4 2 4
direct
0.000 0.003 0.000
0.000 0.997 0.500
0.000 0.336 0.255
0.000 0.664 0.755
0.500 0.497 0.001
0.500 0.503 0.501
0.500 0.170 0.746
0.500 0.830 0.246
0.000 0.326 0.752
0.000 0.674 0.252
0.500 0.159 0.250
0.500 0.841 0.750
```

Output
VASP energy   -55.27 eV for the cell shown
Energy relative to the elements   -34.2 kJ/mol of atoms
SG   No. 26

***

# 8
The following is a DFT calculation (GGA-PBE) of an optimized crystal structure of HfNi3P.

```
HfNi3P
1.0
4.548 0.000 0.000
0.000 4.548 0.000
0.000 0.000 4.548
Hf Ni P
1 3 1
direct
0.000 0.000 0.000
0.000 0.000 0.500
0.000 0.500 0.000
0.500 0.000 0.000
0.500 0.500 0.500
```

Output
VASP energy   -25.94 eV for the cell shown
Energy relative to the elements   130.5 kJ/mol of atoms
SG   No. 221

***

# 9
The following is a DFT calculation (GGA-PBE) of an optimized crystal structure of Ac3Sn3Ir2.

```
Ac3Sn3Ir2
1.0
2.319 -5.890 0.000
2.319 5.890 0.000
0.000 0.000 16.410
Ac Sn Ir
6 6 4
direct
0.068 0.932 0.608
0.068 0.932 0.892
0.347 0.653 0.750
0.653 0.347 0.250
0.932 0.068 0.108
0.932 0.068 0.392
0.348 0.652 0.535
0.348 0.652 0.965
0.356 0.644 0.250
0.644 0.356 0.750
0.652 0.348 0.035
0.652 0.348 0.465
0.217 0.783 0.110
0.217 0.783 0.390
0.783 0.217 0.610
0.783 0.217 0.890
```

Output
VASP energy   -94.98 eV for the cell shown
Energy relative to the elements   -65.6 kJ/mol of atoms
SG   No. 63

***

# 10
The following is a DFT calculation (GGA-PBE) of an optimized crystal structure of Sc2RuO.

```
Sc2RuO
1.0
1.705 0.984 7.487
-1.705 0.984 7.487
0.000 -1.969 7.487
Sc Ru O
2 1 1
direct
0.084 0.084 0.084
0.916 0.916 0.916
0.500 0.500 0.500
0.000 0.000 0.000
```

Output
Formation energy without anion corrections   -1.144 eV per atom
VASP energy   -31.47 eV for the cell shown
SG   No. 166

***

# 11
The following is a DFT calculation (GGA-PBE) of an optimized crystal structure of Sm2ErSe.

```
Sm2ErSe
1.0
3.658 0.000 0.000
0.000 3.658 0.000
0.000 0.000 8.564
Sm Er Se
2 1 1
direct
0.000 0.000 0.209
0.000 0.000 0.791
0.500 0.500 0.500
0.500 0.500 0.000
```

Output
Formation energy without anion corrections   -0.687 eV per atom
VASP energy   -20.23 eV for the cell shown
SG   No. 123

***

# 12
The following is a DFT calculation (GGA-PBE) of an optimized crystal structure of SrLi2ZnSi.

```
SrLi2ZnSi
1.0
5.618 0.000 0.000
0.000 5.618 0.000
0.000 0.000 5.520
Sr Li Zn Si
1 2 1 1
direct
0.000 0.000 0.000
0.000 0.500 0.000
0.500 0.000 0.000
0.000 0.000 0.500
0.500 0.500 0.500
```

Output
Formation energy without anion corrections   1.224 eV per atom
VASP energy   -6.09 eV for the cell shown
SG   No. 123